(1)
The following is a GGA-PBE calculation of crystalline Mg2CrReC at its relaxed geometry, from the Alexandria database.

Summary:
The value obtained for the density is 4.55 g/cm3. The volume is 108.9 Å³ per cell.

Lattice parameters (Å, degrees): 5.006 4.347 5.006 90.00 90.00 90.00
Fractional positions:
Re 0.000 0.500 0.000
Mg 0.000 0.000 0.500
Mg 0.500 0.000 0.000
C 0.500 0.500 0.500
Cr 0.000 0.000 0.000

---

(2)
The following is a GGA-PBE calculation of crystalline MgSc2CrC at its relaxed geometry, from the Alexandria database.

Summary:
The value obtained for the density is 3.49 g/cm3. The volume is 84.9 Å³ per cell.

Lattice parameters (Å, degrees): 4.653 4.653 3.922 90.00 90.00 90.00
Fractional positions:
Sc 0.000 0.500 0.000
Sc 0.500 0.000 0.000
Cr 0.000 0.000 0.500
Mg 0.500 0.500 0.500
C 0.000 0.000 0.000

---

(3)
The following is a GGA-PBE calculation of crystalline YMgCr2C at its relaxed geometry, from the Alexandria database.

Summary:
The value obtained for the density is 3.04 g/cm3. The volume is 125.1 Å³ per cell.

Lattice parameters (Å, degrees): 4.682 5.707 4.682 90.00 90.00 90.00
Fractional positions:
Y 0.000 0.500 0.000
Cr 0.000 0.000 0.500
Cr 0.500 0.000 0.000
Mg 0.000 0.000 0.000
C 0.500 0.500 0.500

---

(4)
The following is a GGA-PBE calculation of crystalline Y2MgCrC at its relaxed geometry, from the Alexandria database.

Summary:
The value obtained for the density is 3.60 g/cm3. The volume is 122.6 Å³ per cell.

Lattice parameters (Å, degrees): 5.652 3.839 5.652 90.00 90.00 90.00
Fractional positions:
Y 0.000 0.000 0.500
Y 0.500 0.000 0.000
Cr 0.500 0.500 0.500
Mg 0.000 0.000 0.000
C 0.000 0.500 0.000

---

(5)
The following is a GGA-PBE calculation of crystalline Y2MgCrC at its relaxed geometry, from the Alexandria database.

Summary:
The value obtained for the density is 4.35 g/cm3. The volume is 101.7 Å³ per cell.

Lattice parameters (Å, degrees): 5.087 5.087 3.928 90.00 90.00 90.00
Fractional positions:
Y 0.000 0.500 0.000
Y 0.500 0.000 0.000
Cr 0.000 0.000 0.500
Mg 0.500 0.500 0.500
C 0.000 0.000 0.000

---

(6)
The following is a GGA-PBE calculation of crystalline MgZrCrC2 at its relaxed geometry, from the Alexandria database.

Summary:
The value obtained for the density is 4.69 g/cm3. The volume is 67.9 Å³ per cell.

Lattice parameters (Å, degrees): 3.880 4.506 3.880 90.00 90.00 90.00
Fractional positions:
Cr 0.000 0.000 0.000
Mg 0.000 0.500 0.000
C 0.000 0.000 0.500
C 0.500 0.000 0.000
Zr 0.500 0.500 0.500

---

| no. | formation enthalpy at 0 K (meV/atom) | raw total energy (eV per atom) |
| --- | --- | --- |
| 1 | 2262 | -4.64 |
| 2 | -198 | -6.82 |
| 3 | 2328 | -4.98 |
| 4 | 1334 | -5.34 |
| 5 | -140 | -6.81 |
| 6 | 1186 | -6.46 |